Entry 1:
The following is a DFT calculation (GGA-PBE) of HfV2AgN after structural relaxation.

Computed properties:
space group = P4/mmm
Fermi-level density of states = 0.4083 states/eV/atom
mass density = 9.43 g/cm³
magnetization = 0.0 Bohr magnetons per cell
E_form (uncorrected) = -493 meV/atom

abc: 3.9933 3.9933 4.4423
angles: 90.00 90.00 90.00
Last column: nearest neighbours and their distance in Å.
Element x y z (fractional)
N1 0.0000 0.0000 0.0000  4 V 2.00, 2 Hf 2.22
Hf1 0.0000 0.0000 0.5000  2 N 2.22
Ag1 0.5000 0.5000 0.5000  4 Hf 2.82, 8 V 2.99
V1 0.0000 0.5000 0.0000  2 N 2.00
V2 0.5000 0.0000 0.0000  2 N 2.00

***

Entry 2:
The following is a DFT calculation (GGA-PBE) of NaHf3Ag after structural relaxation.

Computed properties:
space group = Pm-3m
Fermi-level density of states = 2.2763 states/eV/atom
E above lowest polymorph = 0 meV per atom
mass density = 7.88 g/cm³
magnetization = 0.0 Bohr magnetons per cell

abc: 5.1971 5.1971 5.1971
angles: 90.00 90.00 90.00
Last column: nearest neighbours and their distance in Å.
Element x y z (fractional)
Na1 0.5000 0.5000 0.5000  12 Hf 3.67
Hf1 0.0000 0.5000 0.0000  2 Ag 2.60
Hf2 0.0000 0.0000 0.5000  2 Ag 2.60
Hf3 0.5000 0.0000 0.0000  2 Ag 2.60
Ag1 0.0000 0.0000 0.0000  6 Hf 2.60

***

Q: Which value of magnetization does entry 1 give?
A: 0.0 Bohr magnetons per cell